A plane-wave DFT calculation with PBE with a Hubbard U was carried out for crystalline Mn3NbBr2O6 at its relaxed geometry.

Cell lengths 5.8037, 6.1948, 6.0508 Å; angles 120.79, 74.20, 90.00 degrees
Last column: magnetic moment on the atom in μB.
Sites, in units of the cell vectors:
O 0.6900 0.8205 0.1165  -0.04
O 0.6635 0.7923 0.5845  -0.09
O 0.3365 0.2077 0.4155  -0.09
O 0.6900 0.2960 0.1165  -0.04
O 0.3100 0.7040 0.8835  -0.04
O 0.3100 0.1795 0.8835  -0.04
Mn 0.5000 0.5000 0.5000  3.72
Mn 0.0000 0.5000 0.0000  4.64
Mn 0.5000 0.0000 0.5000  3.72
Br 0.1552 0.7212 0.4425  -0.10
Br 0.8448 0.2788 0.5575  -0.10
Nb 0.5000 0.0000 0.0000  0.12

Computed properties:
**Final energy**: -6.9116 eV per atom
**Calculated volume**: 14.77 Å³ per atom
**Size of the total moment**: 11.998 μB/cell
**Space-group type**: C2/m (12)